# LaCrRe GGA-PBE relaxed
# E_form	2.601	eV per formula unit
# energy above the most stable polymorph in this dataset	528	meV per atom
# M_tot	0.00	μB per formula unit
# mass density	10.197	g cm⁻³
# DFT total energy	-8.133	eV/atom
data_LaCrRe
_chemical_formula_sum 'La4 Cr4 Re4'
_space_group_name_H-M_alt 'F -4 3 m'
_space_group_IT_number 216
_space_group_name_Hall 'F -4 2 3'
_cell_length_a 6.2629
_cell_length_b 6.2629
_cell_length_c 6.2629
_cell_angle_alpha 90.00
_cell_angle_beta 90.00
_cell_angle_gamma 90.00
loop_
_atom_site_label
_atom_site_fract_x
_atom_site_fract_y
_atom_site_fract_z
La1 0.0000 0.0000 0.0000
Cr1 0.2500 0.2500 0.7500
Re1 0.0000 0.0000 0.5000